The following is a DFT calculation (PBE) of crystalline Zn4Br5 at its relaxed geometry.

It has space group P6_3/mcm (No. 193), with a = 8.3435 Å, b = 8.3435 Å, c = 7.1497 Å, α = 90.00°, β = 90.00° and γ = 120.00°. Symmetry generates all atoms from Zn at (0.0000, 0.0000, 0.0000), Zn at (0.0000, 0.4202, 0.2500), Br at (0.0000, 0.2379, 0.7500) and Br at (0.3333, 0.6667, 0.0000).

For the total magnetic moment, the calculation gives 0.00 μB/cell. The raw formation energy comes out at -5.0 kcal/mol of atoms. For the total energy, the calculation gives -1.71 eV/atom.